{"formula": "Sr2MnGaO5", "functional": "PBE+U", "state": "relaxed", "e_tot_ev_per_cell": -118.5, "space_group": "Ima2", "dos_ef_per_ev_atom": 0.048, "e_above_lowest_polymorph_ev_per_atom": 0.000, "lattice_angstrom": [[-8.037, 2.844, 2.744], [8.037, -2.844, 2.744], [8.037, 2.844, -2.744]], "species": ["Sr", "Sr", "Sr", "Sr", "Mn", "Mn", "Ga", "Ga", "O", "O", "O", "O", "O", "O", "O", "O", "O", "O"], "frac_coords": [[0.018, 0.112, 0.130], [0.018, 0.388, 0.406], [0.982, 0.612, 0.594], [0.982, 0.888, 0.870], [0.505, 0.005, 0.500], [0.505, 0.505, 0.000], [0.396, 0.716, 0.180], [0.537, 0.216, 0.820], [0.005, 0.260, 0.760], [0.005, 0.745, 0.245], [0.255, 0.874, 0.882], [0.473, 0.171, 0.592], [0.473, 0.381, 0.802], [0.500, 0.245, 0.240], [0.500, 0.760, 0.755], [0.578, 0.671, 0.198], [0.578, 0.881, 0.408], [0.992, 0.374, 0.118]]}